Entry 1:
8
Lattice="4.5195 0.0000 0.0000 0.0000 4.5195 0.0000 -2.2598 -2.2598 4.5778" Properties=species:S:1:pos:R:3 comment="Tc2CN | Alexandria via LeMat-Bulk | GGA-PBEsol | optimized geometry" space_group=I-42d e_above_lowest_polymorph_ev_per_atom=0.0000 raw_formation_energy_mev_per_atom=205 pbc="T T T"
Tc -1.1299 -1.1547 3.4334
Tc 3.4144 1.1299 1.1445
Tc 1.1299 1.1547 3.4334
Tc 1.1051 3.3897 1.1445
C 2.2598 2.2598 0.0000
C 2.2598 0.0000 2.2889
N 0.0000 0.0000 0.0000
N 0.0000 2.2598 2.2889

Entry 2:
5
Lattice="-0.1916 -0.7186 3.6907 0.2710 -5.1705 -0.9926 5.2581 0.2151 0.3149" Properties=species:S:1:pos:R:3 comment="Te2WCN | Alexandria via LeMat-Bulk | GGA-PBEsol | optimized geometry" space_group=P4/mmm raw_formation_energy_mev_per_atom=1534 pbc="T T T"
C 2.6688 -2.8370 1.5065
N -0.0958 -0.3593 1.8453
Te 0.1355 -2.5853 -0.4963
Te 2.6291 0.1076 0.1574
W 0.0000 0.0000 0.0000

Entry 3:
4
Lattice="6.3839 -0.0044 -0.0027 5.3072 3.5480 -0.0027 5.3072 1.6086 3.1623" Properties=species:S:1:pos:R:3 comment="Th2CN | Alexandria via LeMat-Bulk | GGA-PBEsol | optimized geometry" space_group=R-3m raw_formation_energy_mev_per_atom=-1015 pbc="T T T"
C 0.0000 0.0000 0.0000
Th 4.2385 1.2847 0.7872
Th 12.7600 3.8676 2.3698
N 8.4992 2.5761 1.5785

Entry 4:
22
Lattice="5.5032 0.0000 0.0000 2.7516 4.7659 0.0000 2.7516 1.5886 9.6750" Properties=species:S:1:pos:R:3 comment="Ti2C3N6 | Alexandria via LeMat-Bulk | GGA-PBEsol | optimized geometry" space_group=R-3c raw_formation_energy_mev_per_atom=-479 pbc="T T T"
N 4.4712 1.3223 3.6189
N 4.4712 1.8550 1.2186
N 3.8421 3.4099 8.4564
N 6.1323 1.6224 8.4564
N 6.5937 1.3560 6.0561
N 4.4128 4.9986 3.6189
N 6.5353 4.4996 8.4564
N 4.8741 4.7322 1.2186
N 6.5353 5.0323 6.0561
N 7.6257 3.2110 3.6189
N 3.3807 3.1436 6.0561
N 7.1644 2.9446 1.2186
C 7.3832 3.0983 2.4187
C 4.6316 4.8449 2.4187
C 6.3748 1.5097 7.2562
C 3.6232 3.2563 7.2562
C 4.4948 1.5886 2.4187
C 6.5116 4.7659 7.2562
Ti 8.2548 4.7659 9.6642
Ti 2.7516 1.5886 4.8267
Ti 2.7516 1.5886 0.0108
Ti 8.2548 4.7659 4.8483

Entry 5:
8
Lattice="2.9914 0.0000 0.0000 1.4957 2.5906 0.0000 1.4957 0.8635 9.7759" Properties=species:S:1:pos:R:3 comment="Ti4CN3 | Alexandria via LeMat-Bulk | GGA-PBEsol | optimized geometry" space_group=R-3m raw_formation_energy_mev_per_atom=-1688 pbc="T T T"
Ti 1.4957 0.8635 6.1098
Ti 4.4870 2.5906 3.6662
Ti 2.9914 1.7271 8.5741
Ti 2.9914 1.7271 1.2019
N 1.4957 0.8635 2.4143
N 0.0000 0.0000 0.0000
N 4.4870 2.5906 7.3616
C 2.9914 1.7271 4.8880

Entry 6:
4
Lattice="3.1467 0.0000 0.0000 1.5734 2.7252 0.0000 1.5734 0.9084 5.1204" Properties=species:S:1:pos:R:3 comment="ZrTiCN | Alexandria via LeMat-Bulk | GGA-PBEsol | optimized geometry" space_group=R3m raw_formation_energy_mev_per_atom=-1407 pbc="T T T"
Zr 1.5734 0.9084 1.2786
Ti 4.7201 2.7252 3.8550
N 3.1467 1.8168 2.6332
C 1.5734 0.9084 5.0342

Entry 7:
10
Lattice="-5.1930 2.0703 0.4206 -2.4302 -6.0829 -0.0629 0.4331 -0.2406 6.5319" Properties=species:S:1:pos:R:3 comment="TlC2N2 | Alexandria via LeMat-Bulk | GGA-PBEsol | optimized geometry" space_group=P4/mbm raw_formation_energy_mev_per_atom=1631 pbc="T T T"
Tl 0.0000 0.0000 0.0000
Tl -0.9985 -3.1617 3.2345
N -2.0414 -5.8517 3.5997
N -0.6619 -2.9017 6.1113
N 0.0443 -0.4717 2.8692
N -1.3352 -3.4218 0.3577
C -3.5752 -2.6483 6.2576
C -3.6149 -1.6049 0.6319
C -2.5171 0.4804 3.9207
C -4.6729 -4.7336 2.9689

Entry 8:
5
Lattice="-0.4669 -1.2397 -3.2944 1.2149 -3.1758 1.0229 -3.3037 -0.9927 0.8418" Properties=species:S:1:pos:R:3 comment="TlCN3 | Alexandria via LeMat-Bulk | GGA-PBEsol | optimized geometry" space_group=Pm-3m raw_formation_energy_mev_per_atom=2415 pbc="T T T"
Tl -1.2778 -2.7041 -0.7149
N -1.6518 -0.4964 0.4209
N 0.6075 -1.5879 0.5115
N -0.2335 -0.6199 -1.6472
C 0.0000 0.0000 0.0000

Entry 9:
11
Lattice="-2.7992 2.2125 -0.8444 -3.0586 -4.1167 -0.6471 -0.0140 -0.3111 7.1919" Properties=species:S:1:pos:R:3 comment="Tm2C3N6 | Alexandria via LeMat-Bulk | GGA-PBEsol | optimized geometry" space_group=C2/m raw_formation_energy_mev_per_atom=-884 pbc="T T T"
C -2.1772 0.9853 1.8388
C -3.6946 -3.2006 3.8616
C 0.0000 0.0000 0.0000
N -5.1046 -1.2541 5.6755
N -4.4723 -2.1889 1.1300
N -2.9043 -2.2408 3.7568
N -1.3995 -0.0263 4.5704
N -2.9674 0.0255 1.9436
N -0.7671 -0.9611 0.0249
Tm -2.1225 -2.1336 1.4459
Tm -3.7493 -0.0817 4.2544

Entry 10:
4
Lattice="5.6586 0.0024 0.0015 4.7169 3.1260 0.0015 4.7169 1.4222 2.7837" Properties=species:S:1:pos:R:3 comment="Zr2CN | Alexandria via LeMat-Bulk | GGA-PBEsol | optimized geometry" space_group=R-3m e_above_lowest_polymorph_ev_per_atom=0.0000 raw_formation_energy_mev_per_atom=-1484 pbc="T T T"
C 0.0000 0.0000 0.0000
Zr 3.7833 1.1407 0.6986
Zr 11.3091 3.4099 2.0881
N 7.5462 2.2753 1.3934

Entry 11:
8
Lattice="-4.5419 -1.2389 1.6125 1.6846 -4.5026 1.2854 2.5731 4.5980 3.1017" Properties=species:S:1:pos:R:3 comment="Zr2CN | Alexandria via LeMat-Bulk | GGA-PBEsol | optimized geometry" space_group=I-42d e_above_lowest_polymorph_ev_per_atom=0.5332 raw_formation_energy_mev_per_atom=-951 pbc="T T T"
N 0.0000 0.0000 0.0000
N 1.4145 -1.3877 2.9180
Zr 0.1548 -0.1689 4.1457
Zr -2.7283 -1.6310 2.6787
Zr 1.5619 2.7597 2.6802
Zr 0.4432 -3.2469 2.4944
C -1.4287 -2.8708 1.4489
C -1.6987 0.2442 3.0816

Entry 12:
8
Lattice="-0.7379 -2.8600 1.3373 0.8589 -0.6273 3.0629 -9.1747 2.8034 4.8631" Properties=species:S:1:pos:R:3 comment="Zr4CN3 | Alexandria via LeMat-Bulk | GGA-PBEsol | optimized geometry" space_group=R-3m raw_formation_energy_mev_per_atom=-1724 pbc="T T T"
N -6.7551 -0.5280 6.9345
N -2.2986 -0.1558 2.3288
N -4.5269 -0.3419 4.6317
Zr -1.0698 -1.8297 3.3575
Zr -5.6966 1.3065 3.5811
Zr -3.3572 -1.9904 5.6822
Zr -7.9839 1.1459 5.9058
C 0.0000 0.0000 0.0000

Entry 13:
8
Lattice="7.0082 0.0000 0.0000 -3.5041 4.0356 -1.6848 0.0000 -3.5666 6.0327" Properties=species:S:1:pos:R:3 comment="NaNb2C | Alexandria via LeMat-Bulk | GGA-PBEsol | optimized geometry" space_group=I-42d dft_energy_ev_per_cell=-59.5 pbc="T T T"
Nb -1.7520 1.1495 1.9116
Nb 4.5646 -2.1119 4.8574
Nb 1.7520 2.2289 0.0858
Nb 2.4436 -0.3286 1.8411
C 3.5041 -1.7833 3.0164
C 3.5041 1.1261 0.6658
Na 0.0000 0.0000 0.0000
Na 0.0000 -0.6571 3.6821

Entry 14:
22
Lattice="-0.2108 4.1751 -2.3894 -5.6324 -2.3912 -3.6814 -6.1754 3.7437 7.0165" Properties=species:S:1:pos:R:3 comment="NaNdPCO7 | Alexandria via LeMat-Bulk | GGA-PBEsol | optimized geometry" space_group=P2_1 raw_formation_energy_mev_per_atom=-2153 pbc="T T T"
Nd -5.2759 5.1153 1.9003
Nd -6.2434 0.6243 -0.6283
O -4.8450 2.6591 2.6160
O -10.2335 3.1265 3.0722
O -1.9192 2.3442 -2.2142
O -5.5793 0.7679 -3.0589
O -4.3746 1.2847 0.5013
O -7.3110 6.4707 2.7437
O -3.8671 3.7696 0.6411
O -2.4500 2.1072 1.9035
O -5.3386 -1.2110 -2.2105
O -6.8536 3.0044 -1.4612
O -7.1397 4.4516 0.6297
O -7.0144 4.5155 3.6286
O -7.6342 1.9776 0.6426
O -9.1844 3.5889 -0.5625
P -3.8702 2.4172 1.4018
P -7.7307 3.2877 -0.1832
C -4.9635 -0.3672 -3.1127
C -7.5074 5.7028 3.7627
Na -8.1127 2.3243 2.9008
Na -1.9645 4.0275 -0.6862

Entry 15:
5
Lattice="4.8023 0.0000 0.0000 0.0000 4.8023 0.0000 0.0000 0.0000 4.8023" Properties=species:S:1:pos:R:3 comment="Na3NiC | Alexandria via LeMat-Bulk | GGA-PBEsol | optimized geometry" space_group=Pm-3m dft_energy_ev_per_cell=-13.2 pbc="T T T"
Na 0.0000 0.0000 2.4011
Na 2.4011 0.0000 0.0000
Na 0.0000 2.4011 0.0000
Ni 2.4011 2.4011 2.4011
C 0.0000 0.0000 0.0000

Entry 16:
58
Lattice="-5.8239 7.7164 -0.4378 -9.5491 -1.0736 1.1465 -4.3082 3.2721 8.0240" Properties=species:S:1:pos:R:3 comment="Na6Ni2PC4O16 | Alexandria via LeMat-Bulk | GGA-PBEsol | optimized geometry" space_group=Fd-3 raw_formation_energy_mev_per_atom=-1584 pbc="T T T"
O -8.4864 2.9009 3.9635
O -15.6477 6.0623 4.6651
O -4.4685 3.0643 6.4942
O -8.3367 -0.1432 1.4181
O -7.3512 4.7898 4.3774
O -12.2926 7.7067 6.7945
O -15.6021 8.2831 4.3586
O -10.9077 5.2872 6.5975
O -16.2299 7.8884 8.5149
O -16.1150 9.4927 6.9525
O -1.2887 0.6492 0.5718
O -8.8915 7.0706 3.4395
O -5.1570 3.8506 1.4967
O -3.6315 1.8295 1.6114
O -8.9994 4.1104 6.5573
O -8.9537 6.3313 6.2509
O -13.5822 9.0104 8.0851
O -6.1327 1.5483 1.9117
O -12.3088 4.6869 4.1214
O -11.1916 2.9667 5.0275
O -10.9029 7.2144 4.4203
O -5.5872 6.3445 0.2487
O -13.8985 6.1510 8.5066
O -17.2503 7.6038 6.5385
O -8.3715 4.5052 2.4010
O -13.4099 9.4269 5.8885
O -4.7600 2.6865 3.7130
O -10.7030 6.2426 2.4094
O -13.6937 7.1064 4.3185
O -15.7099 5.3230 7.4764
O -13.6986 5.1792 6.4957
O -11.0192 3.3831 2.8309
Ni -7.5262 6.7336 4.8847
Ni -10.1466 4.5607 1.4460
Ni -9.3888 2.3386 5.6769
Ni -12.3007 6.1968 5.4580
Na -10.0097 8.4576 6.2351
Na -12.1717 3.3562 7.1545
Na -3.2347 3.6365 0.1672
Na -6.6059 1.3209 4.1992
Na -7.5094 6.5586 1.5782
Na -13.0513 5.9355 2.2436
Na -6.6298 3.9793 6.4891
Na -5.0426 5.0096 3.5344
Na -9.6714 1.4572 2.4977
Na -2.5987 1.7715 3.7181
Na -7.2419 3.1860 0.6483
Na -4.7980 -0.0522 0.8320
P 0.0000 0.0000 0.0000
P -4.9203 2.4787 2.1832
C -10.1619 6.8199 3.4344
C -11.4865 3.6942 3.9978
C -16.5105 8.3176 7.3259
C -14.9785 7.1540 4.4726
C -9.6229 5.2395 6.4434
C -13.1149 8.6993 6.9182
C -8.0910 4.0760 3.5901
C -14.4395 5.5736 7.4816

Entry 17:
48
Lattice="-2.8659 0.4889 -5.5923 -7.7547 -2.1711 3.7842 -1.6741 9.7959 1.7144" Properties=species:S:1:pos:R:3 comment="Na2NiPCO7 | Alexandria via LeMat-Bulk | GGA-PBEsol | optimized geometry" space_group=Pc e_above_lowest_polymorph_ev_per_atom=0.0193 raw_formation_energy_mev_per_atom=-1679 pbc="T T T"
O -6.8348 2.5808 1.4811
O -7.9167 2.5307 -0.6571
O -10.4564 6.1136 -1.1134
O -3.1013 2.3506 -1.7897
O -5.0690 0.7877 -3.0577
O -8.9796 -0.3698 0.8747
O -5.4986 3.5001 -0.5094
O -8.2822 4.7764 -2.4212
O -5.8696 5.6887 -2.2366
O -6.8078 5.9412 0.3996
O -3.2654 0.4892 0.3545
O -5.9249 1.0354 -0.3682
O -1.0619 3.2188 0.7599
O -11.0847 8.1162 -0.6660
O -8.7245 7.6583 0.2841
O -2.6551 0.2357 -2.1792
O -4.1573 1.8932 2.2593
O -7.4201 2.7359 3.9942
O -7.8306 7.2751 -2.4180
O -7.6374 7.2382 2.3785
O -3.4852 5.1325 -1.3085
O -4.7118 8.5967 -3.8718
O -4.1532 5.3867 1.2198
O -3.9120 7.2441 -0.8810
O -9.7014 4.5086 1.9568
O -6.8319 0.7400 3.4686
O -4.5958 -0.6076 2.2815
O -6.2700 8.3869 0.4760
P -3.5996 0.4704 1.8706
P -7.3171 7.3396 0.8615
P -6.4977 2.4446 -0.0301
P -7.2903 5.8552 -2.8406
C -7.7572 1.4649 4.0290
C -3.0711 6.3814 -1.3544
C -11.4001 6.8416 -0.5890
C -2.2871 1.4925 -2.3150
Ni -9.4632 7.7572 -1.5449
Ni -4.3263 0.6044 -1.2591
Ni -5.1817 5.5055 -0.4379
Ni -5.7853 2.3745 3.1414
Na -7.5162 4.6706 2.3480
Na -4.8322 3.5410 -2.6975
Na -5.6563 8.4315 -1.7627
Na -9.2271 2.1330 1.2681
Na -4.1107 8.1731 1.2009
Na -3.3292 3.2793 0.2876
Na -9.9874 7.0179 2.2751
Na -8.0022 -0.0017 -1.0908

Entry 18:
24
Lattice="5.0789 0.0000 0.0030 0.0000 6.4101 0.0000 -0.2477 0.0000 8.8245" Properties=species:S:1:pos:R:3 comment="Na2NiPCO7 | Alexandria via LeMat-Bulk | GGA-PBEsol | optimized geometry" space_group=P2_1/m e_above_lowest_polymorph_ev_per_atom=0.0000 raw_formation_energy_mev_per_atom=-1699 pbc="T T T"
O 4.5561 1.6025 7.4563
O 1.0321 2.8302 2.8863
O 4.2133 4.8076 3.7299
O 2.4119 1.6025 7.2676
O 2.4193 4.8076 1.5598
O 1.9039 4.8076 4.7785
O 1.0321 0.3748 2.8863
O 3.7992 3.5799 5.9411
O 2.9274 1.6025 4.0489
O 0.2752 4.8076 1.3711
O 3.7992 6.0353 5.9411
O 0.6180 1.6025 5.0975
O 3.5716 1.6025 0.5181
O 1.2597 4.8076 8.3093
Na 1.0005 3.2886 6.6522
Na 3.8307 0.0836 2.1752
Na 1.0005 6.3265 6.6522
Na 3.8307 3.1215 2.1752
P 3.4573 4.8076 5.0665
P 1.3740 1.6025 3.7609
Ni 3.7823 1.6025 5.7403
Ni 1.0490 4.8076 3.0871
C 3.4078 1.6025 8.1022
C 1.4234 4.8076 0.7252